The following is a PBE calculation of a geometry-optimized Rb2Hg3Cl8 structure, from OQMD via LeMat-Bulk.

The volume comes out at 34.91 Å³/atom. The final energy comes out at -2.391 eV/atom.

The space group is C2/m (No. 12) and the conventional cell measures 15.043, 10.320 and 6.135 Å, with angles of 90.00, 107.63 and 90.00 degrees. The inequivalent atoms are Rb at (0.226, 0.000, 0.043), Hg at (0.000, 0.191, 0.500), Hg at (0.000, 0.500, 0.000), Cl at (0.106, 0.270, 0.859), Cl at (0.109, 0.000, 0.421) and Cl at (0.131, 0.500, 0.328).

***

The following is a PBE calculation of a geometry-optimized Rb3HgCl6 structure, from OQMD via LeMat-Bulk.

The volume comes out at 35.12 Å³/atom. The final energy comes out at -2.658 eV/atom.

The space group is Fm-3m (No. 225) and the conventional cell measures 11.199, 11.199 and 11.199 Å, with angles of 90.00, 90.00 and 90.00 degrees. The inequivalent atoms are Rb at (0.000, 0.000, 0.000), Rb at (0.250, 0.250, 0.250), Hg at (0.000, 0.000, 0.500) and Cl at (0.000, 0.000, 0.268).

***

Please write out number 1 again, unchanged.
The following is a PBE calculation of a geometry-optimized Rb2Hg3Cl8 structure, from OQMD via LeMat-Bulk.

The volume comes out at 34.91 Å³/atom. The final energy comes out at -2.391 eV/atom.

The space group is C2/m (No. 12) and the conventional cell measures 15.043, 10.320 and 6.135 Å, with angles of 90.00, 107.63 and 90.00 degrees. The inequivalent atoms are Rb at (0.226, 0.000, 0.043), Hg at (0.000, 0.191, 0.500), Hg at (0.000, 0.500, 0.000), Cl at (0.106, 0.270, 0.859), Cl at (0.109, 0.000, 0.421) and Cl at (0.131, 0.500, 0.328).

***

Copy entry 1 word for word.
The following is a PBE calculation of a geometry-optimized Rb2Hg3Cl8 structure, from OQMD via LeMat-Bulk.

The volume comes out at 34.91 Å³/atom. The final energy comes out at -2.391 eV/atom.

The space group is C2/m (No. 12) and the conventional cell measures 15.043, 10.320 and 6.135 Å, with angles of 90.00, 107.63 and 90.00 degrees. The inequivalent atoms are Rb at (0.226, 0.000, 0.043), Hg at (0.000, 0.191, 0.500), Hg at (0.000, 0.500, 0.000), Cl at (0.106, 0.270, 0.859), Cl at (0.109, 0.000, 0.421) and Cl at (0.131, 0.500, 0.328).